DFT (PBE+U) results for a relaxed structure of AcTbWO6.

Cell: 5.2262 5.6379 5.6379 Å, 120.00 90.00 90.00°
Closest atoms and distances in Å follow each position.
Element x y z (fractional)
Ac: 0.0000 0.3333 0.6667  6 O 2.55
Tb: 0.5000 0.6667 0.3333  6 O 2.27
W: 0.5000 0.0000 0.0000  6 O 1.96
O: 0.7118 0.7176 0.7070  1 W 1.96
O: 0.7118 0.2930 0.0106  1 W 1.96
O: 0.7118 0.9894 0.2824  1 W 1.96
O: 0.2882 0.2930 0.2824  1 W 1.96
O: 0.2882 0.7176 0.0106  1 W 1.96
O: 0.2882 0.9894 0.7070  1 W 1.96

Calculated values
The final energy is -72.00 eV per cell. The space-group type is P312, No. 149. As for the crystal system: trigonal.